[1]
## LaPmSmPb (PBE)

Data for a geometry-optimized LaPmSmPb structure.

```
LaPmSmPb
1.0
-2.4223 2.7030 -4.3241
0.7303 -1.8834 -5.2718
-4.3038 -2.3867 -2.7664
Pb La Sm Pm
1 1 1 1
direct
0.5000 0.5000 0.5000
0.2500 0.2500 0.2500
0.0000 0.0000 0.0000
0.7500 0.7500 0.7500
```

Values from the calculation:
For the formation energy, the calculation gives -0.164 eV/atom. For the total DFT energy (no corrections), the calculation gives -4.69 eV/atom. The density of states at the Fermi level comes out at 7.58 states/eV/cell. As for the excess energy over the best structure of this formula in the dataset: 143 meV per atom.

[2]
## PrNdH4 (PBE)

Data for a geometry-optimized PrNdH4 structure.

```
PrNdH4
1.0
3.8926 0.0000 0.0000
0.0000 3.8926 0.0000
0.0000 0.0000 5.5039
Pr Nd H
1 1 4
direct
0.0000 0.0000 0.0000
0.5000 0.5000 0.5000
0.5000 0.0000 0.7469
0.0000 0.5000 0.7469
0.5000 0.0000 0.2531
0.0000 0.5000 0.2531
```

Values from the calculation:
For the total DFT energy (no corrections), the calculation gives -4.47 eV/atom. The density of states at the Fermi level comes out at 1.86 states/eV/cell.

[3]
## CuAgGeBr2 (PBE)

Data for a geometry-optimized CuAgGeBr2 structure.

```
CuAgGeBr2
1.0
4.8521 0.0000 0.0000
0.0000 5.3952 0.0000
0.0000 0.0000 4.8521
Ge Cu Br Ag
1 1 2 1
direct
0.5000 0.5000 0.5000
0.0000 0.0000 0.0000
0.0000 0.0000 0.5000
0.5000 0.0000 0.0000
0.0000 0.5000 0.0000
```

Values from the calculation:
The value obtained for the energy relative to the elements, uncorrected is 0.402 eV/atom. For the total DFT energy (no corrections), the calculation gives -2.58 eV/atom. The density of states at the Fermi level comes out at 1.44 states/eV/cell.

[4]
## PrPaPt2O8 (PBE)

Data for a geometry-optimized PrPaPt2O8 structure.

```
PrPaPt2O8
1.0
-3.5253 5.0048 -0.9189
-1.6318 -4.4595 -3.9712
-0.7847 -2.0264 5.7964
Pr Pa Pt O
1 1 2 8
direct
0.2500 0.7500 0.5000
0.0000 0.0000 0.0000
0.7500 0.2500 0.5000
0.5000 0.5000 0.0000
0.3623 0.0448 0.3175
0.2822 0.4465 0.1643
0.2822 0.1178 0.8357
0.7273 0.0448 0.6825
0.8822 0.7178 0.1643
0.9552 0.2727 0.3175
0.9552 0.6377 0.6825
0.5535 0.7178 0.8357
```

Values from the calculation:
The value obtained for the energy relative to the elements, uncorrected is -1.697 eV/atom. For the total DFT energy (no corrections), the calculation gives -7.20 eV/atom. The density of states at the Fermi level comes out at 0.30 states/eV/cell.

[5]
## ScCo2Ir (PBE)

Data for a geometry-optimized ScCo2Ir structure.

```
ScCo2Ir
1.0
-0.2986 1.0078 -2.8798
-2.9467 0.6548 0.5347
1.5604 5.5646 1.7855
Co Ir Sc
2 1 1
direct
0.0000 0.0000 0.0435
0.5000 0.5000 0.2238
0.0000 0.0000 0.4781
0.5000 0.5000 0.7547
```

Values from the calculation:
For the formation energy, the calculation gives -0.196 eV/atom. For the total DFT energy (no corrections), the calculation gives -7.55 eV/atom. The density of states at the Fermi level comes out at 4.49 states/eV/cell.

[6]
## Mg2SbSe (PBE)

Data for a geometry-optimized Mg2SbSe structure.

```
Mg2SbSe
1.0
5.4582 -0.0091 -0.0422
0.3354 5.4479 0.0422
-1.7258 -3.9668 3.3286
Mg Sb Se
2 1 1
direct
0.0269 0.0269 0.0000
0.4731 0.4731 0.0000
0.7500 0.2500 0.5000
0.2500 0.7500 0.5000
```

Values from the calculation:
The value obtained for the energy relative to the elements, uncorrected is -0.354 eV/atom. For the total DFT energy (no corrections), the calculation gives -3.05 eV/atom. The density of states at the Fermi level comes out at 2.16 states/eV/cell. As for the excess energy over the best structure of this formula in the dataset: 355 meV per atom.

[7]
## ReNiIr (PBE)

Data for a geometry-optimized ReNiIr structure.

```
ReNiIr
1.0
-3.5951 0.0394 -1.9721
-0.1211 -0.6007 -4.0546
-1.5479 -3.4836 -1.5112
Ir Ni Re
1 1 1
direct
0.0000 0.0000 0.0000
0.5000 0.5000 0.5000
0.7500 0.7500 0.7500
```

Values from the calculation:
For the formation energy, the calculation gives 0.475 eV/atom. For the total DFT energy (no corrections), the calculation gives -8.56 eV/atom. The density of states at the Fermi level comes out at 4.19 states/eV/cell. As for the excess energy over the best structure of this formula in the dataset: 623 meV per atom.

[8]
## Cd2Ag2Br7 (PBE)

Data for a geometry-optimized Cd2Ag2Br7 structure.

```
Cd2Ag2Br7
1.0
7.0194 0.2695 0.3081
-0.3344 7.6024 -0.9670
-0.3344 -1.9697 7.4062
Cd Ag Br
2 2 7
direct
0.3830 0.2952 0.2952
0.6170 0.7048 0.7048
0.0000 0.3050 0.6950
0.0000 0.6950 0.3050
0.7703 0.9293 0.5409
0.2297 0.4591 0.0707
0.2297 0.0707 0.4591
0.7703 0.5409 0.9293
0.5000 0.0000 0.0000
0.2444 0.5991 0.5991
0.7556 0.4009 0.4009
```

Values from the calculation:
The value obtained for the energy relative to the elements, uncorrected is -0.510 eV/atom. For the total DFT energy (no corrections), the calculation gives -2.26 eV/atom. The density of states at the Fermi level comes out at 9.70 states/eV/cell. As for the excess energy over the best structure of this formula in the dataset: 9 meV per atom.

[9]
## KRbNa2 (PBE)

Data for a geometry-optimized KRbNa2 structure.

```
KRbNa2
1.0
4.4586 0.0000 0.0000
2.2293 3.8613 0.0000
2.2293 1.2871 13.4695
Na K Rb
2 1 1
direct
0.7475 0.7475 0.7576
0.2525 0.2525 0.2424
0.0000 0.0000 0.0000
0.5000 0.5000 0.5000
```

Values from the calculation:
For the formation energy, the calculation gives 0.074 eV/atom. For the total DFT energy (no corrections), the calculation gives -1.10 eV/atom. The density of states at the Fermi level comes out at 2.62 states/eV/cell. As for the excess energy over the best structure of this formula in the dataset: 45 meV per atom.

[10]
## NaPr2PaN4 (PBE)

Data for a geometry-optimized NaPr2PaN4 structure.

```
NaPr2PaN4
1.0
3.6771 0.0000 0.0000
0.0000 6.1840 -0.1961
0.0000 2.1134 5.8110
Na Pr Pa N
1 2 1 4
direct
0.0000 0.5000 0.5000
0.0000 0.0000 0.0000
0.5000 0.0000 0.5000
0.5000 0.5000 0.0000
0.0000 0.7476 0.7595
0.0000 0.2524 0.2405
0.5000 0.7351 0.1945
0.5000 0.2649 0.8055
```

Values from the calculation:
The value obtained for the energy relative to the elements, uncorrected is -1.121 eV/atom. For the total DFT energy (no corrections), the calculation gives -7.83 eV/atom. The density of states at the Fermi level comes out at 0.22 states/eV/cell.

[11]
## La2Zn4InSi3 (PBE)

Data for a geometry-optimized La2Zn4InSi3 structure.

```
La2Zn4InSi3
1.0
-2.1696 -3.7535 0.4473
1.3325 -0.2768 4.1405
-8.5212 5.2944 3.0962
La Zn In Si
2 4 1 3
direct
0.5000 0.0000 0.2442
0.0000 0.5000 0.7558
0.5000 0.5000 0.0000
0.0000 0.0000 0.0000
0.5000 0.0000 0.6424
0.0000 0.5000 0.3576
0.5000 0.5000 0.5000
0.0000 0.0000 0.5000
0.5000 0.0000 0.8716
0.0000 0.5000 0.1284
```

Values from the calculation:
The value obtained for the energy relative to the elements, uncorrected is -0.382 eV/atom. For the total DFT energy (no corrections), the calculation gives -3.78 eV/atom. The density of states at the Fermi level comes out at 3.10 states/eV/cell.

[12]
## MgAlSi4 (PBE)

Data for a geometry-optimized MgAlSi4 structure.

```
MgAlSi4
1.0
0.0000 3.6263 3.6263
3.6263 0.0000 3.6263
3.6263 3.6263 0.0000
Mg Al Si
1 1 4
direct
0.0000 0.0000 0.0000
0.7500 0.7500 0.7500
0.8763 0.3746 0.3746
0.3746 0.3746 0.8763
0.3746 0.8763 0.3746
0.3746 0.3746 0.3746
```

Values from the calculation:
The value obtained for the energy relative to the elements, uncorrected is 0.282 eV/atom. For the total DFT energy (no corrections), the calculation gives -4.22 eV/atom. The density of states at the Fermi level comes out at 2.40 states/eV/cell.

Number 5 is which compound?
ScCo2Ir

The lowest total DFT energy (no corrections) belongs to which entry?
ReNiIr